CuGe2Pd8: relaxed, PBE-GGA.

a b c (Å): 4.100 6.266 7.325
angles (deg): 110.69 106.25 90.00
Atoms (fractional coordinates):
Cu 0.500 0.000 0.000
Ge 0.804 0.326 0.609
Ge 0.196 0.674 0.391
Pd 0.327 0.058 0.653
Pd 0.598 0.465 0.197
Pd 0.033 0.753 0.067
Pd 0.171 0.254 0.343
Pd 0.673 0.942 0.347
Pd 0.402 0.535 0.803
Pd 0.967 0.247 0.933
Pd 0.829 0.746 0.657

## Properties
N(E_F), states/eV per cell: 4.47
Energy relative to the elements, eV/f.u.: -3.395
Polymorph energy (0 for the lowest one), eV per atom: 0.014

***

CsHfTe2S: relaxed, PBE-GGA.

a b c (Å): 5.748 5.748 5.036
angles (deg): 90.00 90.00 90.00
Atoms (fractional coordinates):
Te 0.000 0.500 0.000
Te 0.500 0.000 0.000
Hf 0.000 0.000 0.000
Cs 0.500 0.500 0.500
S 0.000 0.000 0.500

## Properties
N(E_F), states/eV per cell: 3.51
Formation energy (no corrections), eV/f.u.: -4.4